# 1
The following is a PBE calculation of a geometry-optimized Ba2AlZn6Cu structure, from the Alexandria database.

## Properties
ΔE_f: -178 meV/atom
ρ: 5.57 g/cm³
M_tot: 0.0 μB per cell
Calculated total energy: -2.11 eV per atom

Unit cell a=7.065 b=6.627 c=6.596 alpha=59.81 beta=62.56 gamma=89.99
Positions (direct):
Ba (0.880, 0.294, 0.411)
Ba (0.120, 0.706, 0.589)
Al (0.000, 0.000, 0.000)
Zn (0.362, 0.850, 0.895)
Zn (0.362, 0.255, 0.895)
Zn (0.638, 0.150, 0.105)
Cu (0.500, 0.500, 0.000)
Zn (0.360, 0.256, 0.489)
Zn (0.640, 0.744, 0.511)
Zn (0.638, 0.745, 0.105)

---

# 2
The following is a PBE calculation of a geometry-optimized TlCd3Hg2 structure, from the Alexandria database.

## Properties
ΔE_f: 31 meV/atom
ρ: 10.08 g/cm³
M_tot: 0.0 μB per cell
Calculated total energy: -0.92 eV per atom

Unit cell a=5.789 b=9.055 c=8.006 alpha=63.07 beta=72.07 gamma=56.34
Positions (direct):
Tl (0.859, 0.175, 0.089)
Cd (0.717, 0.000, 0.573)
Hg (0.169, 0.405, 0.173)
Hg (0.831, 0.595, 0.827)
Cd (0.574, 0.416, 0.354)
Tl (0.141, 0.825, 0.911)
Hg (0.461, 0.196, 0.857)
Hg (0.539, 0.804, 0.143)
Cd (0.426, 0.584, 0.646)
Cd (0.956, 0.716, 0.382)
Cd (0.283, 0.000, 0.427)
Cd (0.044, 0.284, 0.618)